Material: SrCuReRh2
Method: DFT, PBE
State: relaxed

- E_form: 1009 meV per atom
- DOS at the Fermi energy: 6.333 states/eV/f.u.
- Volume: 20.48 A^3/atom
- Energy: -5.58 eV/atom
- Space-group type: P4/mmm (123)

Cell and atoms, written as POSCAR:
```
SrCuReRh2
1.0
4.7403 0.0000 0.0000
0.0000 4.5562 0.0000
0.0000 0.0000 4.7403
Cu Rh Re Sr
1 2 1 1
direct
0.0000 0.0000 0.0000
0.0000 0.0000 0.5000
0.5000 0.0000 0.0000
0.0000 0.5000 0.0000
0.5000 0.5000 0.5000
```